(1)
Computed, not measured: Hf5GaSn2 after structural relaxation at the GGA-PBE level of DFT.

Its electronic total energy is -7.91 eV/atom. The calculation puts the formation energy at -0.314 eV/atom. The relative energy among the computed polymorphs is 0.000 eV per atom. The calculation puts the total magnetization at 0.0 μB/cell.

Lattice parameters (Å, degrees): 4.3275 7.4103 10.8614 90.00 90.00 90.00
With the nearest neighbours (Å) after each atom.
Positions (direct):
Hf (0.5000, 0.7979, 0.9385)  2 Ga 2.71, 2 Sn 2.99-3.02
Hf (0.5000, 0.7021, 0.4385)  2 Ga 2.71, 2 Sn 2.99-3.02
Hf (0.5000, 0.2979, 0.5615)  2 Ga 2.71, 2 Sn 2.99-3.02
Hf (0.0000, 0.6634, 0.7209)  1 Ga 2.69, 4 Sn 2.95-2.99
Hf (0.0000, 0.0000, 0.5000)  4 Sn 2.95, 6 Hf 3.16-3.26
Hf (0.0000, 0.8366, 0.2209)  1 Ga 2.69, 4 Sn 2.95-2.99
Hf (0.0000, 0.1634, 0.7791)  1 Ga 2.69, 4 Sn 2.95-2.99
Hf (0.0000, 0.3366, 0.2791)  1 Ga 2.69, 4 Sn 2.95-2.99
Hf (0.0000, 0.5000, 0.0000)  4 Sn 2.95, 6 Hf 3.16-3.26
Hf (0.5000, 0.2021, 0.0615)  2 Ga 2.71, 2 Sn 2.99-3.02
Sn (0.5000, 0.5726, 0.1780)  9 Hf 2.95-3.09
Sn (0.5000, 0.4274, 0.8220)  9 Hf 2.95-3.09
Sn (0.5000, 0.9274, 0.6780)  9 Hf 2.95-3.09
Sn (0.5000, 0.0726, 0.3220)  9 Hf 2.95-3.09
Ga (0.0000, 0.5000, 0.5000)  6 Hf 2.69-2.71
Ga (0.0000, 0.0000, 0.0000)  6 Hf 2.69-2.71

(2)
Computed, not measured: Cd2BiSb2 after structural relaxation at the GGA-PBE level of DFT.

The uncorrected formation energy is 0.224 eV/atom. Its electronic total energy is -2.57 eV/atom. The relative energy among the computed polymorphs is 0.183 eV per atom. The calculation puts the total magnetization at 0.0 μB/cell.

Lattice parameters (Å, degrees): 4.4436 4.4436 7.9145 73.70 73.70 90.00
With the nearest neighbours (Å) after each atom.
Positions (direct):
Sb (0.2500, 0.7500, 0.5000)  4 Sb 3.14, 4 Cd 3.16
Sb (0.7500, 0.2500, 0.5000)  4 Sb 3.14, 4 Cd 3.16
Bi (0.0000, 0.0000, 0.0000)  8 Cd 3.44
Cd (0.4043, 0.4043, 0.1913)  1 Cd 2.78
Cd (0.5957, 0.5957, 0.8087)  1 Cd 2.78

(3)
Computed, not measured: HoSiPt6 after structural relaxation at the GGA-PBE level of DFT.

The uncorrected formation energy is -0.679 eV/atom. Its electronic total energy is -6.46 eV/atom. The relative energy among the computed polymorphs is 0.000 eV per atom. The calculation puts the total magnetization at 0.0 μB/cell.

Lattice parameters (Å, degrees): 4.0302 4.0302 7.9551 90.00 90.00 90.00
With the nearest neighbours (Å) after each atom.
Positions (direct):
Pt (0.5000, 0.0000, 0.7330)  8 Pt 2.74-2.93, 2 Si 2.74, 2 Ho 2.93
Pt (0.0000, 0.5000, 0.7330)  2 Si 2.74, 8 Pt 2.74-2.93, 2 Ho 2.93
Pt (0.5000, 0.5000, 0.0000)  4 Ho 2.85, 8 Pt 2.93
Pt (0.5000, 0.0000, 0.2670)  8 Pt 2.74-2.93, 2 Si 2.74, 2 Ho 2.93
Pt (0.5000, 0.5000, 0.5000)  8 Pt 2.74, 4 Si 2.85
Pt (0.0000, 0.5000, 0.2670)  8 Pt 2.74-2.93, 2 Si 2.74, 2 Ho 2.93
Ho (0.0000, 0.0000, 0.0000)  12 Pt 2.85-2.93
Si (0.0000, 0.0000, 0.5000)  12 Pt 2.74-2.85